# 1
DFT (GGA-PBE) results for crystalline Ni7Pb2 at its relaxed geometry.

Unit cell a=2.897 b=2.897 c=24.695 alpha=90.00 beta=90.00 gamma=120.00
Sites, in units of the cell vectors:
1 Ni 0.000 0.000 0.000
2 Ni 0.000 0.000 0.215
3 Ni 0.000 0.000 0.785
4 Ni 0.333 0.667 0.144
5 Ni 0.333 0.667 0.928
6 Ni 0.667 0.333 0.072
7 Ni 0.667 0.333 0.856
8 Pb 0.333 0.667 0.693
9 Pb 0.667 0.333 0.307

Computed properties:
Size of the total moment ... 0.073 μB per cell
Space-group type ... P-3m1 (164)
E_tot ... -41.35 eV for the cell shown

---

# 2
DFT (GGA-PBE) results for crystalline CsScCuTe3 at its relaxed geometry.

Unit cell a=10.269 b=4.127 c=10.749 alpha=90.00 beta=117.32 gamma=90.00
Sites, in units of the cell vectors:
1 Cs 0.217 0.250 0.245
2 Cs 0.783 0.750 0.755
3 Sc 0.326 0.750 0.852
4 Sc 0.674 0.250 0.148
5 Cu 0.080 0.250 0.593
6 Cu 0.920 0.750 0.407
7 Te 0.129 0.250 0.855
8 Te 0.210 0.750 0.545
9 Te 0.475 0.750 0.157
10 Te 0.525 0.250 0.843
11 Te 0.790 0.250 0.455
12 Te 0.871 0.750 0.145

Computed properties:
Size of the total moment ... 0.001 μB per cell
Space-group type ... P2_1/m (11)
E_tot ... -51.08 eV for the cell shown

---

# 3
DFT (GGA-PBE) results for crystalline Y2Ta4In3C3 at its relaxed geometry.

Unit cell a=5.805 b=5.805 c=14.845 alpha=101.60 beta=101.60 gamma=59.88
Sites, in units of the cell vectors:
1 Y 0.038 0.880 0.608
2 Y 0.120 0.962 0.892
3 Y 0.880 0.038 0.108
4 Y 0.962 0.120 0.392
5 Ta 0.192 0.343 0.073
6 Ta 0.293 0.490 0.427
7 Ta 0.343 0.192 0.573
8 Ta 0.490 0.293 0.927
9 Ta 0.510 0.707 0.073
10 Ta 0.657 0.808 0.427
11 Ta 0.707 0.510 0.573
12 Ta 0.808 0.657 0.927
13 In 0.085 0.363 0.754
14 In 0.363 0.085 0.254
15 In 0.471 0.529 0.250
16 In 0.529 0.471 0.750
17 In 0.637 0.915 0.746
18 In 0.915 0.637 0.246
19 C 0.000 0.500 0.500
20 C 0.175 0.650 0.000
21 C 0.350 0.825 0.500
22 C 0.500 0.000 0.000
23 C 0.650 0.175 0.500
24 C 0.825 0.350 0.000

Computed properties:
Size of the total moment ... 0.010 μB per cell
Space-group type ... C2/c (15)
E_tot ... -203.80 eV for the cell shown

---

# 4
DFT (GGA-PBE) results for crystalline AlTcB4 at its relaxed geometry.

Unit cell a=2.974 b=2.974 c=6.692 alpha=90.00 beta=90.00 gamma=120.00
Sites, in units of the cell vectors:
1 Al 0.000 0.000 0.000
2 Tc 0.000 0.000 0.500
3 B 0.333 0.667 0.240
4 B 0.333 0.667 0.760
5 B 0.667 0.333 0.240
6 B 0.667 0.333 0.760

Computed properties:
Size of the total moment ... 0.001 μB per cell
Space-group type ... P6/mmm (191)
E_tot ... -41.13 eV for the cell shown

---

# 5
DFT (GGA-PBE) results for crystalline ZnRe2Au at its relaxed geometry.

Unit cell a=4.439 b=4.439 c=4.439 alpha=60.00 beta=60.00 gamma=60.00
Sites, in units of the cell vectors:
1 Zn 0.000 0.000 0.000
2 Re 0.500 0.500 0.500
3 Re 0.750 0.750 0.750
4 Au 0.250 0.250 0.250

Computed properties:
Size of the total moment ... 0.016 μB per cell
Space-group type ... F-43m (216)
E_tot ... -27.39 eV for the cell shown
DFT formation energy ... 0.497 eV/atom

---

# 6
DFT (GGA-PBE) results for crystalline BaLiTaPd at its relaxed geometry.

Unit cell a=4.962 b=4.962 c=4.962 alpha=60.00 beta=60.00 gamma=60.00
Sites, in units of the cell vectors:
1 Ba 0.000 0.000 0.000
2 Li 0.500 0.500 0.500
3 Ta 0.250 0.250 0.250
4 Pd 0.750 0.750 0.750

Computed properties:
Size of the total moment ... 0.247 μB per cell
Space-group type ... F-43m (216)
E_tot ... -17.22 eV for the cell shown

---

# 7
DFT (GGA-PBE) results for crystalline NaTm5 at its relaxed geometry.

Unit cell a=6.511 b=6.511 c=5.658 alpha=90.00 beta=90.00 gamma=120.00
Sites, in units of the cell vectors:
1 Na 0.000 0.000 0.000
2 Tm 0.000 0.500 0.500
3 Tm 0.333 0.667 0.000
4 Tm 0.500 0.000 0.500
5 Tm 0.500 0.500 0.500
6 Tm 0.667 0.333 0.000

Computed properties:
Size of the total moment ... 0.036 μB per cell
Space-group type ... P6/mmm (191)
E_tot ... -20.76 eV for the cell shown

---

# 8
DFT (GGA-PBE) results for crystalline Nb4InNiN2 at its relaxed geometry.

Unit cell a=3.171 b=3.171 c=13.410 alpha=90.00 beta=90.00 gamma=120.00
Sites, in units of the cell vectors:
1 Nb 0.000 0.000 0.143
2 Nb 0.000 0.000 0.857
3 Nb 0.333 0.667 0.320
4 Nb 0.333 0.667 0.680
5 In 0.000 0.000 0.500
6 Ni 0.333 0.667 0.000
7 N 0.667 0.333 0.231
8 N 0.667 0.333 0.769

Computed properties:
Size of the total moment ... 0.006 μB per cell
Space-group type ... P-6m2 (187)
E_tot ... -69.44 eV for the cell shown

---

# 9
DFT (GGA-PBE) results for crystalline GaCu2Sb at its relaxed geometry.

Unit cell a=6.478 b=6.478 c=6.478 alpha=90.00 beta=90.00 gamma=90.00
Sites, in units of the cell vectors:
1 Ga 0.000 0.000 0.000
2 Ga 0.000 0.000 0.500
3 Ga 0.000 0.500 0.000
4 Ga 0.500 0.000 0.000
5 Cu 0.224 0.224 0.224
6 Cu 0.224 0.224 0.776
7 Cu 0.224 0.776 0.224
8 Cu 0.224 0.776 0.776
9 Cu 0.776 0.224 0.224
10 Cu 0.776 0.224 0.776
11 Cu 0.776 0.776 0.224
12 Cu 0.776 0.776 0.776
13 Sb 0.000 0.500 0.500
14 Sb 0.500 0.000 0.500
15 Sb 0.500 0.500 0.000
16 Sb 0.500 0.500 0.500

Computed properties:
Space-group type ... Pm-3m (221)
E_tot ... -55.73 eV for the cell shown

---

# 10
DFT (GGA-PBE) results for crystalline LiTcPd2 at its relaxed geometry.

Unit cell a=4.313 b=4.313 c=4.313 alpha=60.00 beta=60.00 gamma=60.00
Sites, in units of the cell vectors:
1 Li 0.000 0.000 0.000
2 Tc 0.250 0.250 0.250
3 Pd 0.500 0.500 0.500
4 Pd 0.750 0.750 0.750

Computed properties:
Size of the total moment ... 0.013 μB per cell
Space-group type ... F-43m (216)
E_tot ... -21.91 eV for the cell shown

---

# 11
DFT (GGA-PBE) results for crystalline K2ReF6 at its relaxed geometry.

Unit cell a=5.310 b=5.310 c=10.962 alpha=90.00 beta=90.00 gamma=90.00
Sites, in units of the cell vectors:
1 K 0.000 0.000 0.165
2 K 0.000 0.000 0.835
3 K 0.500 0.500 0.335
4 K 0.500 0.500 0.665
5 Re 0.000 0.000 0.500
6 Re 0.500 0.500 0.000
7 F 0.176 0.176 0.366
8 F 0.176 0.176 0.634
9 F 0.238 0.238 0.000
10 F 0.262 0.738 0.500
11 F 0.324 0.676 0.134
12 F 0.324 0.676 0.866
13 F 0.676 0.324 0.134
14 F 0.676 0.324 0.866
15 F 0.738 0.262 0.500
16 F 0.762 0.762 0.000
17 F 0.824 0.824 0.366
18 F 0.824 0.824 0.634

Computed properties:
Size of the total moment ... 5.998 μB per cell
Space-group type ... P4_2/mnm (136)
E_tot ... -95.93 eV for the cell shown

---

Q: E_tot of number 10 (LiTcPd2)?
A: -21.91 eV for the cell shown